The following is a PBE calculation of an optimized crystal structure of YZn2Sb2, from OQMD.

Calculated values
The raw total energy comes out at -3.727 eV/atom. Its crystal system is tetragonal.

a b c (Å): 7.8139 7.8139 7.8139
angles (deg): 150.06 150.06 42.85
Last column: nearest neighbours and their distance in Å.
Atoms (fractional coordinates):
1 Sb 0.3874 0.3874 0.0000  4 Zn 2.84
2 Sb 0.6126 0.6126 0.0000  4 Zn 2.84
3 Y 0.0000 0.0000 0.0000  8 Sb 3.29
4 Zn 0.7500 0.2500 0.5000  4 Sb 2.84, 4 Zn 2.85
5 Zn 0.2500 0.7500 0.5000  4 Sb 2.84, 4 Zn 2.85

---

The following is a PBE calculation of an optimized crystal structure of GdMgTlTe3, from OQMD.

Calculated values
The raw total energy comes out at -3.962 eV/atom. Its crystal system is orthorhombic.

a b c (Å): 11.8163 4.4893 15.4712
angles (deg): 90.00 90.00 90.00
Last column: nearest neighbours and their distance in Å.
Atoms (fractional coordinates):
1 Gd 0.9910 0.7500 0.2480  6 Te 3.13-3.18
2 Gd 0.4910 0.7500 0.2520  6 Te 3.13-3.18
3 Gd 0.5090 0.2500 0.7480  6 Te 3.13-3.18
4 Gd 0.0090 0.2500 0.7520  6 Te 3.13-3.18
5 Mg 0.7421 0.2500 0.2161  4 Te 2.77-2.82
6 Mg 0.2421 0.2500 0.2839  4 Te 2.77-2.82
7 Mg 0.7579 0.7500 0.7161  4 Te 2.77-2.82
8 Mg 0.2579 0.7500 0.7839  4 Te 2.77-2.82
9 Te 0.9343 0.2500 0.1139  1 Mg 2.77
10 Te 0.5469 0.2500 0.1167  1 Mg 2.77
11 Te 0.2419 0.7500 0.1735  2 Mg 2.82
12 Te 0.7419 0.7500 0.3265  2 Mg 2.82
13 Te 0.0469 0.2500 0.3833  1 Mg 2.77
14 Te 0.4343 0.2500 0.3861  1 Mg 2.77
15 Te 0.5657 0.7500 0.6139  1 Mg 2.77
16 Te 0.9531 0.7500 0.6167  1 Mg 2.77
17 Te 0.2581 0.2500 0.6735  2 Mg 2.82
18 Te 0.7581 0.2500 0.8265  2 Mg 2.82
19 Te 0.4531 0.7500 0.8833  1 Mg 2.77
20 Te 0.0657 0.7500 0.8861  1 Mg 2.77
21 Tl 0.7375 0.7500 0.0093  7 Te 3.59-3.88, 2 Mg 3.91
22 Tl 0.2375 0.7500 0.4907  7 Te 3.59-3.88, 2 Mg 3.91
23 Tl 0.7625 0.2500 0.5093  7 Te 3.59-3.88, 2 Mg 3.91
24 Tl 0.2625 0.2500 0.9907  7 Te 3.59-3.88, 2 Mg 3.91